LiTi5Au6: optimized geometry, PBE.

The structure in CIF format:
```
data_LiTi5Au6
_chemical_formula_sum 'Li2 Ti10 Au12'
_space_group_name_H-M_alt 'C m m m'
_space_group_IT_number 65
_space_group_name_Hall '-C 2 2'
_cell_length_a 4.5362
_cell_length_b 13.6803
_cell_length_c 6.5881
_cell_angle_alpha 90.00
_cell_angle_beta 90.00
_cell_angle_gamma 90.00
loop_
_atom_site_label
_atom_site_type_symbol
_atom_site_fract_x
_atom_site_fract_y
_atom_site_fract_z
Li1 Li 0.0000 0.0000 0.0000
Ti1 Ti 0.0000 0.0000 0.5000
Ti2 Ti 0.0000 0.3190 0.5000
Ti3 Ti 0.0000 0.3262 0.0000
Au1 Au 0.0000 0.1509 0.2339
Au2 Au 0.0000 0.5000 0.2594
```

Raw total energy in eV/atom: -5.45
Magnetic moment in μB/f.u.: 4.04
Formation energy in eV per formula unit: -4.41
D(E_F) in states/eV per cell: 19.6


SrOsRu2: optimized geometry, PBE.

The structure in CIF format:
```
data_SrOsRu2
_chemical_formula_sum 'Sr2 Os2 Ru4'
_space_group_name_H-M_alt 'I m m 2'
_space_group_IT_number 44
_space_group_name_Hall 'I 2 -2'
_cell_length_a 2.8533
_cell_length_b 4.8389
_cell_length_c 10.2428
_cell_angle_alpha 90.00
_cell_angle_beta 90.00
_cell_angle_gamma 90.00
loop_
_atom_site_label
_atom_site_type_symbol
_atom_site_fract_x
_atom_site_fract_y
_atom_site_fract_z
Sr1 Sr 0.0000 0.0000 0.0000
Os1 Os 0.0000 0.5000 0.7837
Ru1 Ru 0.0000 0.0000 0.4967
Ru2 Ru 0.0000 0.5000 0.2177
```

Raw total energy in eV/atom: -7.14
ΔE to the lowest computed polymorph in kJ/mol of formula units: 73
Magnetic moment in μB/f.u.: 0.00
Formation energy in eV per formula unit: 2.92
D(E_F) in states/eV per cell: 7.6


Mo3Os: optimized geometry, PBE.

The structure in CIF format:
```
data_Mo3Os
_chemical_formula_sum 'Mo12 Os4'
_space_group_name_H-M_alt 'C m c m'
_space_group_IT_number 63
_space_group_name_Hall '-C 2c 2'
_cell_length_a 6.4182
_cell_length_b 8.8605
_cell_length_c 4.3704
_cell_angle_alpha 90.00
_cell_angle_beta 90.00
_cell_angle_gamma 90.00
loop_
_atom_site_label
_atom_site_type_symbol
_atom_site_fract_x
_atom_site_fract_y
_atom_site_fract_z
Mo1 Mo 0.0000 0.1333 0.2500
Mo2 Mo 0.2395 0.1270 0.7500
Os1 Os 0.0000 0.3942 0.7500
```

Raw total energy in eV/atom: -10.81
ΔE to the lowest computed polymorph in kJ/mol of formula units: 48
Magnetic moment in μB/f.u.: 0.00
Formation energy in eV per formula unit: 0.50
D(E_F) in states/eV per cell: 17.0